First-principles (PBE) data for a geometry-optimized ZrTl2HgS4 structure, as listed in Alexandria via LeMat-Bulk.

Results
Uncorrected formation energy ... -5.6 eV/f.u.
Calculated total energy ... -35.66 eV/f.u.

Lattice parameters (Å, degrees): 7.1834 3.8407 7.8152 90.00 110.06 90.00
With the nearest neighbours (Å) after each atom.
Space group P2/m (No. 10)
Unique sites:
Zr1 0.0000 0.0000 0.0000 (multiplicity 1)  6 S 2.60-2.64
Tl1 0.0000 0.5000 0.5000 (multiplicity 1)  6 S 3.08-3.18
Tl2 0.5000 0.0000 0.5000 (multiplicity 1)  6 S 3.19-3.54
Hg1 0.5000 0.5000 0.0000 (multiplicity 1)  4 S 2.67
S1 0.1986 0.5000 0.2078 (multiplicity 2)  2 Zr 2.60
S2 0.2519 0.0000 0.8202 (multiplicity 2)  1 Zr 2.64, 2 Hg 2.67